The following is a PBE calculation of crystalline MgUMnOs at its relaxed geometry, from Alexandria via LeMat-Bulk.

```
MgUMnOs
1.0
4.604 0.000 0.000
2.302 3.987 0.000
2.302 1.329 3.759
Os Mg Mn U
1 1 1 1
direct
0.250 0.250 0.250
0.000 0.000 0.000
0.750 0.750 0.750
0.500 0.500 0.500
```

Results
**Size of the total moment**: 0.94 Bohr magnetons per cell
**Energy relative to the elements**: 0.1314 eV/atom
**Crystal system**: cubic
**SG**: No. 216

---

The following is a PBE calculation of crystalline KMnAs at its relaxed geometry, from Alexandria via LeMat-Bulk.

```
KMnAs
1.0
-1.678 1.399 -4.375
-1.538 -3.349 -3.214
-4.764 -0.393 -1.031
As K Mn
1 1 1
direct
0.750 0.750 0.750
0.000 0.000 0.000
0.500 0.500 0.500
```

Results
**Size of the total moment**: 5.00 Bohr magnetons per cell
**Energy relative to the elements**: 0.2349 eV/atom
**Crystal system**: cubic
**SG**: No. 216

---

The following is a PBE calculation of crystalline ZrScNb at its relaxed geometry, from Alexandria via LeMat-Bulk.

```
ZrScNb
1.0
-2.515 1.574 -0.916
2.050 -1.011 -2.102
-3.916 -6.626 -0.634
Sc Nb Zr
1 1 1
direct
0.667 0.333 0.320
0.000 0.000 0.004
0.333 0.667 0.677
```

Results
**Size of the total moment**: 0.00 Bohr magnetons per cell
**Energy relative to the elements**: 0.1725 eV/atom
**Crystal system**: trigonal
**Energy above the lowest structure with this stoichiometry**: 62 meV per atom
**SG**: No. 156

---

The following is a PBE calculation of crystalline PaGa4Ni2 at its relaxed geometry, from Alexandria via LeMat-Bulk.

```
PaGa4Ni2
1.0
-1.843 2.934 2.438
-0.877 -4.374 4.601
14.712 3.862 6.473
Pa Ga Ni
4 16 8
direct
0.750 0.986 0.635
0.250 0.014 0.365
0.250 0.486 0.865
0.750 0.514 0.135
0.250 0.276 0.695
0.750 0.724 0.305
0.750 0.776 0.805
0.250 0.224 0.195
0.250 0.675 0.684
0.750 0.325 0.316
0.750 0.175 0.816
0.250 0.825 0.184
0.250 0.181 0.535
0.750 0.819 0.465
0.750 0.681 0.965
0.250 0.319 0.035
0.250 0.500 0.427
0.750 0.500 0.573
0.750 0.000 0.073
0.250 0.000 0.927
0.250 0.769 0.537
0.750 0.231 0.463
0.750 0.269 0.963
0.250 0.731 0.037
0.250 0.969 0.780
0.750 0.031 0.220
0.750 0.469 0.720
0.250 0.531 0.280
```

Results
**Size of the total moment**: 0.00 Bohr magnetons per cell
**Energy relative to the elements**: -0.4515 eV/atom
**Crystal system**: orthorhombic
**Energy above the lowest structure with this stoichiometry**: 0 meV per atom
**SG**: No. 62

---

The following is a PBE calculation of crystalline Ba2ReC at its relaxed geometry, from Alexandria via LeMat-Bulk.

```
Ba2ReC
1.0
-5.713 5.701 -8.153
0.234 -9.322 -6.682
-4.473 -2.420 -6.629
Re C Ba
2 2 4
direct
0.000 0.000 0.000
0.750 0.250 0.500
0.500 0.500 0.000
0.250 0.750 0.500
0.425 0.125 0.250
0.325 0.625 0.250
0.375 0.575 0.750
0.875 0.675 0.750
```

Results
**Size of the total moment**: 0.52 Bohr magnetons per cell
**Energy relative to the elements**: 0.5253 eV/atom
**Crystal system**: tetragonal
**SG**: No. 122

---

The following is a PBE calculation of crystalline NaCeSn at its relaxed geometry, from Alexandria via LeMat-Bulk.

```
NaCeSn
1.0
-3.956 -2.156 -2.164
0.264 -1.500 -4.761
1.676 -9.255 0.385
Ce Na Sn
2 2 2
direct
0.293 0.293 0.120
0.707 0.707 0.880
0.138 0.138 0.586
0.862 0.862 0.414
0.421 0.421 0.737
0.579 0.579 0.263
```

Results
**Size of the total moment**: 2.02 Bohr magnetons per cell
**Energy relative to the elements**: -0.1130 eV/atom
**Crystal system**: trigonal
**Energy above the lowest structure with this stoichiometry**: 89 meV per atom
**SG**: No. 166

---

The following is a PBE calculation of crystalline CoTeAs2 at its relaxed geometry, from Alexandria via LeMat-Bulk.

```
CoTeAs2
1.0
2.956 0.004 0.000
-0.004 2.956 0.000
0.000 0.000 8.870
As Co Te
2 1 1
direct
0.000 0.000 0.033
0.500 0.500 0.315
0.000 0.000 0.471
0.500 0.500 0.681
```

Results
**Size of the total moment**: 0.00 Bohr magnetons per cell
**Crystal system**: tetragonal
**E_form (uncorrected)**: 1.2 eV/f.u.
**SG**: No. 99

---

The following is a PBE calculation of crystalline LiZn2Br at its relaxed geometry, from Alexandria via LeMat-Bulk.

```
LiZn2Br
1.0
3.625 0.000 0.000
0.000 3.724 0.118
0.000 1.732 6.441
Br Li Zn
1 1 2
direct
0.000 0.230 0.653
0.500 0.774 0.567
0.000 0.003 0.130
0.500 0.492 0.151
```

Results
**Size of the total moment**: 0.00 Bohr magnetons per cell
**Crystal system**: monoclinic
**Energy above the lowest structure with this stoichiometry**: 0 meV per atom
**E_form (uncorrected)**: -1.8 eV/f.u.
**SG**: No. 6

---

The following is a PBE calculation of crystalline Tl2In3Pb7 at its relaxed geometry, from Alexandria via LeMat-Bulk.

```
Tl2In3Pb7
1.0
-3.072 -0.767 -1.355
-2.396 -0.304 5.603
-4.460 17.231 0.354
Tl In Pb
2 3 7
direct
0.500 0.781 0.335
0.500 0.219 0.665
0.500 0.500 0.000
0.000 0.287 0.313
0.000 0.713 0.687
0.500 0.744 0.532
0.500 0.256 0.468
0.000 0.639 0.162
0.000 0.000 0.000
0.000 0.361 0.838
0.500 0.868 0.839
0.500 0.132 0.161
```

Results
**Size of the total moment**: 0.00 Bohr magnetons per cell
**Energy relative to the elements**: 0.0363 eV/atom
**Crystal system**: monoclinic
**SG**: No. 10

---

The following is a PBE calculation of crystalline Rb3MnAg2Br8 at its relaxed geometry, from Alexandria via LeMat-Bulk.

```
Rb3MnAg2Br8
1.0
7.528 0.000 0.000
-3.764 6.520 0.000
0.000 0.000 10.179
Rb Mn Ag Br
3 1 2 8
direct
0.333 0.667 0.622
0.667 0.333 0.378
0.000 0.000 0.000
0.000 0.000 0.500
0.333 0.667 0.195
0.667 0.333 0.805
0.333 0.667 0.947
0.667 0.333 0.053
0.159 0.841 0.348
0.841 0.159 0.652
0.159 0.319 0.348
0.841 0.681 0.652
0.681 0.841 0.348
0.319 0.159 0.652
```

Results
**Size of the total moment**: 4.00 Bohr magnetons per cell
**Crystal system**: trigonal
**E_form (uncorrected)**: -14.1 eV/f.u.
**SG**: No. 164

---

The following is a PBE calculation of crystalline Sr2CaCl at its relaxed geometry, from Alexandria via LeMat-Bulk.

```
Sr2CaCl
1.0
3.946 0.000 0.000
0.000 3.946 0.000
0.000 0.000 11.867
Sr Ca Cl
2 1 1
direct
0.000 0.000 0.948
0.500 0.500 0.235
0.000 0.000 0.483
0.500 0.500 0.835
```

Results
**Size of the total moment**: 0.00 Bohr magnetons per cell
**Crystal system**: tetragonal
**Energy above the lowest structure with this stoichiometry**: 110 meV per atom
**E_form (uncorrected)**: -2.8 eV/f.u.
**SG**: No. 99

---

The following is a PBE calculation of crystalline AcZr4N6 at its relaxed geometry, from Alexandria via LeMat-Bulk.

```
AcZr4N6
1.0
3.303 0.000 0.000
-1.652 5.452 0.000
0.000 0.000 16.865
Ac Zr N
2 8 12
direct
0.652 0.305 0.250
0.348 0.695 0.750
0.869 0.738 0.546
0.396 0.792 0.133
0.131 0.262 0.454
0.604 0.208 0.867
0.869 0.738 0.954
0.131 0.262 0.046
0.604 0.208 0.633
0.396 0.792 0.367
0.500 0.000 0.000
0.500 0.000 0.500
0.033 0.066 0.348
0.967 0.934 0.652
0.967 0.934 0.848
0.033 0.066 0.152
0.770 0.539 0.418
0.230 0.461 0.582
0.230 0.461 0.918
0.770 0.539 0.082
0.331 0.662 0.250
0.669 0.338 0.750
```

Results
**Size of the total moment**: 0.00 Bohr magnetons per cell
**Crystal system**: orthorhombic
**E_form (uncorrected)**: -16.8 eV/f.u.
**SG**: No. 63

---

The following is a PBE calculation of crystalline Y3Mn3S8 at its relaxed geometry, from Alexandria via LeMat-Bulk.

```
Y3Mn3S8
1.0
6.658 -0.037 3.762
2.178 6.291 3.762
-0.053 -0.037 7.647
Y Mn S
3 3 8
direct
0.500 0.000 0.000
0.000 0.500 0.000
0.000 0.000 0.500
0.377 0.377 0.377
0.623 0.623 0.623
0.000 0.000 0.000
0.752 0.752 0.752
0.238 0.765 0.765
0.765 0.238 0.765
0.765 0.765 0.238
0.248 0.248 0.248
0.762 0.235 0.235
0.235 0.762 0.235
0.235 0.235 0.762
```

Results
**Size of the total moment**: 14.00 Bohr magnetons per cell
**Crystal system**: trigonal
**E_form (uncorrected)**: -18.5 eV/f.u.
**SG**: No. 166

---

The following is a PBE calculation of crystalline NaZn4Pt2 at its relaxed geometry, from Alexandria via LeMat-Bulk.

```
NaZn4Pt2
1.0
4.161 0.000 0.000
0.000 7.656 0.000
0.000 0.000 7.656
Na Zn Pt
2 8 4
direct
0.500 0.000 0.000
0.000 0.500 0.500
0.000 0.091 0.345
0.000 0.909 0.655
0.500 0.155 0.591
0.500 0.845 0.409
0.500 0.409 0.845
0.500 0.591 0.155
0.000 0.345 0.091
0.000 0.655 0.909
0.000 0.225 0.775
0.000 0.775 0.225
0.500 0.725 0.725
0.500 0.275 0.275
```

Results
**Size of the total moment**: 0.00 Bohr magnetons per cell
**Energy relative to the elements**: -0.3560 eV/atom
**Crystal system**: tetragonal
**Energy above the lowest structure with this stoichiometry**: 0 meV per atom
**SG**: No. 136

---

The following is a PBE calculation of crystalline Bi2SbH2 at its relaxed geometry, from Alexandria via LeMat-Bulk.

```
Bi2SbH2
1.0
-2.771 0.424 -2.861
2.674 -1.136 -2.758
-1.737 -6.201 -2.040
Sb Bi H
1 2 2
direct
0.000 0.000 0.000
0.359 0.359 0.282
0.641 0.641 0.718
0.750 0.250 0.500
0.250 0.750 0.500
```

Results
**Size of the total moment**: 0.00 Bohr magnetons per cell
**Crystal system**: tetragonal
**Energy above the lowest structure with this stoichiometry**: 0 meV per atom
**SG**: No. 139

---

The following is a PBE calculation of crystalline LiTeAs2 at its relaxed geometry, from Alexandria via LeMat-Bulk.

```
LiTeAs2
1.0
-4.755 3.770 -1.467
-4.348 -1.119 -4.338
2.920 -2.269 5.030
As Li Te
2 1 1
direct
0.981 0.981 0.000
0.817 0.317 0.500
0.508 0.508 0.000
0.194 0.694 0.500
```

Results
**Size of the total moment**: 0.00 Bohr magnetons per cell
**Crystal system**: orthorhombic
**E_form (uncorrected)**: -0.4 eV/f.u.
**SG**: No. 44

---

The following is a PBE calculation of crystalline SnBS2N at its relaxed geometry, from Alexandria via LeMat-Bulk.

```
SnBS2N
1.0
5.049 0.000 0.000
0.000 5.049 0.000
0.000 0.000 4.130
S B Sn N
2 1 1 1
direct
0.000 0.500 0.000
0.500 0.000 0.000
0.500 0.500 0.500
0.000 0.000 0.000
0.000 0.000 0.500
```

Results
**Size of the total moment**: 1.80 Bohr magnetons per cell
**Crystal system**: tetragonal
**Energy above the lowest structure with this stoichiometry**: 1413 meV per atom
**E_form (uncorrected)**: 8.3 eV/f.u.
**SG**: No. 123

---

The following is a PBE calculation of crystalline PuNpSnRu at its relaxed geometry, from Alexandria via LeMat-Bulk.

```
PuNpSnRu
1.0
-3.430 3.153 1.507
-3.994 -1.645 2.306
-0.598 0.867 4.782
Np Ru Sn Pu
1 1 1 1
direct
0.000 0.000 0.000
0.250 0.250 0.250
0.500 0.500 0.500
0.750 0.750 0.750
```

Results
**Size of the total moment**: 9.01 Bohr magnetons per cell
**Energy relative to the elements**: -0.1009 eV/atom
**Crystal system**: cubic
**SG**: No. 216

---

The following is a PBE calculation of crystalline Zn3CuIr at its relaxed geometry, from Alexandria via LeMat-Bulk.

```
Zn3CuIr
1.0
4.771 0.000 0.000
0.000 4.771 0.000
0.000 0.000 4.771
Zn Ir Cu
3 1 1
direct
0.000 0.500 0.000
0.000 0.000 0.500
0.500 0.000 0.000
0.000 0.000 0.000
0.500 0.500 0.500
```

Results
**Size of the total moment**: 0.00 Bohr magnetons per cell
**Energy relative to the elements**: 0.5448 eV/atom
**Crystal system**: cubic
**Energy above the lowest structure with this stoichiometry**: 675 meV per atom
**SG**: No. 221

---

The following is a PBE calculation of crystalline Ba2RhPb at its relaxed geometry, from Alexandria via LeMat-Bulk.

```
Ba2RhPb
1.0
-0.949 -5.002 1.465
1.655 1.123 4.906
-4.322 1.169 1.190
Ba Rh Pb
2 1 1
direct
0.500 0.000 0.000
0.000 0.500 0.000
0.500 0.500 0.500
0.000 0.000 0.500
```

Results
**Size of the total moment**: 0.00 Bohr magnetons per cell
**Energy relative to the elements**: -0.0971 eV/atom
**Crystal system**: tetragonal
**SG**: No. 123

---

The following is a PBE calculation of crystalline PmHo2OsO8 at its relaxed geometry, from Alexandria via LeMat-Bulk.

```
PmHo2OsO8
1.0
5.055 -0.003 -0.003
0.032 5.052 -0.006
0.004 0.008 6.840
Pm Ho Os O
1 2 1 8
direct
0.000 0.000 0.500
0.500 0.500 0.747
0.500 0.500 0.253
0.000 0.000 0.000
0.185 0.813 0.205
0.736 0.738 0.000
0.815 0.187 0.205
0.815 0.187 0.795
0.264 0.262 0.000
0.185 0.813 0.795
0.685 0.686 0.500
0.315 0.314 0.500
```

Results
**Size of the total moment**: 1.04 Bohr magnetons per cell
**Crystal system**: monoclinic
**E_form (uncorrected)**: -30.2 eV/f.u.
**SG**: No. 10

---

The following is a PBE calculation of crystalline Li3B8C8 at its relaxed geometry, from Alexandria via LeMat-Bulk.

```
Li3B8C8
1.0
-1.698 1.596 1.381
1.278 -2.077 3.972
11.560 10.901 1.613
C B Li
8 8 3
direct
0.500 0.170 0.375
0.000 0.325 0.089
0.000 0.670 0.387
0.500 0.825 0.105
0.500 0.175 0.868
0.000 0.327 0.651
0.000 0.675 0.872
0.500 0.827 0.652
0.500 0.159 0.090
0.000 0.332 0.375
0.000 0.661 0.106
0.500 0.833 0.387
0.500 0.161 0.648
0.000 0.341 0.870
0.000 0.661 0.648
0.500 0.846 0.873
0.000 0.001 0.760
0.500 0.509 0.983
0.500 0.502 0.760
```

Results
**Size of the total moment**: 0.00 Bohr magnetons per cell
**Energy relative to the elements**: 0.1179 eV/atom
**Crystal system**: monoclinic
**Energy above the lowest structure with this stoichiometry**: 112 meV per atom
**SG**: No. 6

---

The following is a PBE calculation of crystalline CuHOF at its relaxed geometry, from Alexandria via LeMat-Bulk.

```
CuHOF
1.0
-2.154 2.154 -1.164
-2.864 0.279 1.249
0.981 4.469 1.886
Cu H O F
1 1 1 1
direct
0.494 0.652 0.360
0.574 0.095 0.757
0.714 0.033 0.539
0.347 0.208 0.098
```

Results
**Size of the total moment**: 1.00 Bohr magnetons per cell
**Crystal system**: monoclinic
**Energy above the lowest structure with this stoichiometry**: 42 meV per atom
**SG**: No. 8